a.
# Cd3SiGe, relaxed, DFT GGA-PBE
# Crystal system = cubic
# V = 138 Å³/f.u.
data_Cd3SiGe
_space_group_name_H-M_alt 'P m -3 m'
_space_group_IT_number 221
_space_group_name_Hall '-P 4 2 3'
_cell_length_a 5.1654
_cell_length_b 5.1654
_cell_length_c 5.1654
_cell_angle_alpha 90.00
_cell_angle_beta 90.00
_cell_angle_gamma 90.00
loop_
_atom_site_label
_atom_site_type_symbol
_atom_site_fract_x
_atom_site_fract_y
_atom_site_fract_z
Cd1 Cd 0.0000 0.0000 0.5000
Si1 Si 0.5000 0.5000 0.5000
Ge1 Ge 0.0000 0.0000 0.0000

---

b.
# Cd3SiGe, relaxed, DFT GGA-PBE
# Crystal system = cubic
# V = 133 Å³/f.u.
data_Cd3SiGe
_space_group_name_H-M_alt 'P m -3 m'
_space_group_IT_number 221
_space_group_name_Hall '-P 4 2 3'
_cell_length_a 5.0987
_cell_length_b 5.0987
_cell_length_c 5.0987
_cell_angle_alpha 90.00
_cell_angle_beta 90.00
_cell_angle_gamma 90.00
loop_
_atom_site_label
_atom_site_type_symbol
_atom_site_fract_x
_atom_site_fract_y
_atom_site_fract_z
Cd1 Cd 0.0000 0.0000 0.5000
Si1 Si 0.0000 0.0000 0.0000
Ge1 Ge 0.5000 0.5000 0.5000

---

b is favored, and the nearest alternative lies 141 meV/atom above it.

---

a.
# CdSiGe3, relaxed, DFT GGA-PBE
# Crystal system = cubic
# V = 113 Å³/f.u.
data_CdSiGe3
_space_group_name_H-M_alt 'P m -3 m'
_space_group_IT_number 221
_space_group_name_Hall '-P 4 2 3'
_cell_length_a 4.8376
_cell_length_b 4.8376
_cell_length_c 4.8376
_cell_angle_alpha 90.00
_cell_angle_beta 90.00
_cell_angle_gamma 90.00
loop_
_atom_site_label
_atom_site_type_symbol
_atom_site_fract_x
_atom_site_fract_y
_atom_site_fract_z
Cd1 Cd 0.0000 0.0000 0.0000
Si1 Si 0.5000 0.5000 0.5000
Ge1 Ge 0.0000 0.5000 0.5000

---

b.
# CdSiGe3, relaxed, DFT GGA-PBE
# Crystal system = cubic
# V = 134 Å³/f.u.
data_CdSiGe3
_space_group_name_H-M_alt 'P m -3 m'
_space_group_IT_number 221
_space_group_name_Hall '-P 4 2 3'
_cell_length_a 5.1148
_cell_length_b 5.1148
_cell_length_c 5.1148
_cell_angle_alpha 90.00
_cell_angle_beta 90.00
_cell_angle_gamma 90.00
loop_
_atom_site_label
_atom_site_type_symbol
_atom_site_fract_x
_atom_site_fract_y
_atom_site_fract_z
Cd1 Cd 0.0000 0.0000 0.0000
Si1 Si 0.5000 0.5000 0.5000
Ge1 Ge 0.0000 0.0000 0.5000

---

a is favored, and the nearest alternative lies 581 meV/atom above it.

---

a.
# SmCdGe2, relaxed, DFT GGA-PBE
# Crystal system = tetragonal
# V = 88 Å³/f.u.
data_SmCdGe2
_space_group_name_H-M_alt 'I 4/m m m'
_space_group_IT_number 139
_space_group_name_Hall '-I 4 2'
_cell_length_a 4.2621
_cell_length_b 4.2621
_cell_length_c 19.2932
_cell_angle_alpha 90.00
_cell_angle_beta 90.00
_cell_angle_gamma 90.00
loop_
_atom_site_label
_atom_site_type_symbol
_atom_site_fract_x
_atom_site_fract_y
_atom_site_fract_z
Sm1 Sm 0.0000 0.0000 0.1100
Cd1 Cd 0.0000 0.5000 0.2500
Ge1 Ge 0.0000 0.0000 0.3600
Ge2 Ge 0.0000 0.5000 0.0000

---

b.
# SmCdGe2, relaxed, DFT GGA-PBE
# Crystal system = trigonal
# V = 91 Å³/f.u.
data_SmCdGe2
_space_group_name_H-M_alt 'R -3 m'
_space_group_IT_number 166
_space_group_name_Hall '-R 3 2"'
_cell_length_a 4.6038
_cell_length_b 4.6038
_cell_length_c 14.8856
_cell_angle_alpha 90.00
_cell_angle_beta 90.00
_cell_angle_gamma 120.00
loop_
_atom_site_label
_atom_site_type_symbol
_atom_site_fract_x
_atom_site_fract_y
_atom_site_fract_z
Sm1 Sm 0.0000 0.0000 0.0000
Cd1 Cd 0.0000 0.0000 0.5000
Ge1 Ge 0.0000 0.0000 0.2311

---

a is favored, and the nearest alternative lies 198 meV/atom above it.

---

a.
# CdSn2Ge, relaxed, DFT GGA-PBE
# Crystal system = tetragonal
# V = 130 Å³/f.u.
data_CdSn2Ge
_space_group_name_H-M_alt 'I -4 2 d'
_space_group_IT_number 122
_space_group_name_Hall 'I -4 2bw'
_cell_length_a 6.6496
_cell_length_b 6.6496
_cell_length_c 11.7810
_cell_angle_alpha 90.00
_cell_angle_beta 90.00
_cell_angle_gamma 90.00
loop_
_atom_site_label
_atom_site_type_symbol
_atom_site_fract_x
_atom_site_fract_y
_atom_site_fract_z
Cd1 Cd 0.0000 0.0000 0.0000
Sn1 Sn 0.2270 0.2500 0.6250
Ge1 Ge 0.0000 0.0000 0.5000

---

b.
# CdSn2Ge, relaxed, DFT GGA-PBE
# Crystal system = tetragonal
# V = 98 Å³/f.u.
data_CdSn2Ge
_space_group_name_H-M_alt 'P 4/m m m'
_space_group_IT_number 123
_space_group_name_Hall '-P 4 2'
_cell_length_a 4.7500
_cell_length_b 4.7500
_cell_length_c 4.3647
_cell_angle_alpha 90.00
_cell_angle_beta 90.00
_cell_angle_gamma 90.00
loop_
_atom_site_label
_atom_site_type_symbol
_atom_site_fract_x
_atom_site_fract_y
_atom_site_fract_z
Cd1 Cd 0.0000 0.0000 0.0000
Sn1 Sn 0.0000 0.5000 0.5000
Ge1 Ge 0.5000 0.5000 0.0000

---

c.
# CdSn2Ge, relaxed, DFT GGA-PBE
# Crystal system = tetragonal
# V = 98 Å³/f.u.
data_CdSn2Ge
_space_group_name_H-M_alt 'P 4/m m m'
_space_group_IT_number 123
_space_group_name_Hall '-P 4 2'
_cell_length_a 3.5110
_cell_length_b 3.5110
_cell_length_c 7.9704
_cell_angle_alpha 90.00
_cell_angle_beta 90.00
_cell_angle_gamma 90.00
loop_
_atom_site_label
_atom_site_type_symbol
_atom_site_fract_x
_atom_site_fract_y
_atom_site_fract_z
Cd1 Cd 0.0000 0.0000 0.0000
Sn1 Sn 0.5000 0.5000 0.2729
Ge1 Ge 0.0000 0.0000 0.5000

---

d.
# CdSn2Ge, relaxed, DFT GGA-PBE
# Crystal system = trigonal
# V = 106 Å³/f.u.
data_CdSn2Ge
_space_group_name_H-M_alt 'R 3 m'
_space_group_IT_number 160
_space_group_name_Hall 'R 3 -2"'
_cell_length_a 4.0921
_cell_length_b 4.0921
_cell_length_c 21.9373
_cell_angle_alpha 90.00
_cell_angle_beta 90.00
_cell_angle_gamma 120.00
loop_
_atom_site_label
_atom_site_type_symbol
_atom_site_fract_x
_atom_site_fract_y
_atom_site_fract_z
Cd1 Cd 0.0000 0.0000 0.0000
Sn1 Sn 0.0000 0.0000 0.5744
Sn2 Sn 0.0000 0.0000 0.7601
Ge1 Ge 0.0000 0.0000 0.1666

---

c is favored, and the nearest alternative lies 19 meV/atom above it.

---

a.
# CdSn2Ge, relaxed, DFT GGA-PBE
# Crystal system = cubic
# V = 98 Å³/f.u.
data_CdSn2Ge
_space_group_name_H-M_alt 'F m -3 m'
_space_group_IT_number 225
_space_group_name_Hall '-F 4 2 3'
_cell_length_a 7.3216
_cell_length_b 7.3216
_cell_length_c 7.3216
_cell_angle_alpha 90.00
_cell_angle_beta 90.00
_cell_angle_gamma 90.00
loop_
_atom_site_label
_atom_site_type_symbol
_atom_site_fract_x
_atom_site_fract_y
_atom_site_fract_z
Cd1 Cd 0.0000 0.0000 0.0000
Sn1 Sn 0.2500 0.2500 0.2500
Ge1 Ge 0.0000 0.0000 0.5000

---

b.
# CdSn2Ge, relaxed, DFT GGA-PBE
# Crystal system = trigonal
# V = 103 Å³/f.u.
data_CdSn2Ge
_space_group_name_H-M_alt 'R -3 m'
_space_group_IT_number 166
_space_group_name_Hall '-R 3 2"'
_cell_length_a 3.2671
_cell_length_b 3.2671
_cell_length_c 33.3582
_cell_angle_alpha 90.00
_cell_angle_beta 90.00
_cell_angle_gamma 120.00
loop_
_atom_site_label
_atom_site_type_symbol
_atom_site_fract_x
_atom_site_fract_y
_atom_site_fract_z
Cd1 Cd 0.0000 0.0000 0.0000
Sn1 Sn 0.0000 0.0000 0.0923
Ge1 Ge 0.0000 0.0000 0.5000

---

a is favored, and the nearest alternative lies 10 meV/atom above it.

---

a.
# Cd2SnGe, relaxed, DFT GGA-PBE
# Crystal system = trigonal
# V = 95 Å³/f.u.
data_Cd2SnGe
_space_group_name_H-M_alt 'R -3 m'
_space_group_IT_number 166
_space_group_name_Hall '-R 3 2"'
_cell_length_a 3.2102
_cell_length_b 3.2102
_cell_length_c 32.0297
_cell_angle_alpha 90.00
_cell_angle_beta 90.00
_cell_angle_gamma 120.00
loop_
_atom_site_label
_atom_site_type_symbol
_atom_site_fract_x
_atom_site_fract_y
_atom_site_fract_z
Cd1 Cd 0.0000 0.0000 0.0924
Sn1 Sn 0.0000 0.0000 0.0000
Ge1 Ge 0.0000 0.0000 0.5000

---

b.
# Cd2SnGe, relaxed, DFT GGA-PBE
# Crystal system = tetragonal
# V = 94 Å³/f.u.
data_Cd2SnGe
_space_group_name_H-M_alt 'P 4/m m m'
_space_group_IT_number 123
_space_group_name_Hall '-P 4 2'
_cell_length_a 3.5296
_cell_length_b 3.5296
_cell_length_c 7.5778
_cell_angle_alpha 90.00
_cell_angle_beta 90.00
_cell_angle_gamma 90.00
loop_
_atom_site_label
_atom_site_type_symbol
_atom_site_fract_x
_atom_site_fract_y
_atom_site_fract_z
Cd1 Cd 0.0000 0.0000 0.2224
Sn1 Sn 0.5000 0.5000 0.5000
Ge1 Ge 0.5000 0.5000 0.0000

---

a is favored, and the nearest alternative lies 27 meV/atom above it.